Material: B2PdAu
Method: DFT, GGA-PBE
State: relaxed

Properties
E_tot = -4.0996 eV per atom

a = 5.909 Å, b = 5.909 Å, c = 5.909 Å
α = 90.00°, β = 90.00°, γ = 90.00°
Space group F-43m (No. 216)
Inequivalent atoms, fractional coordinates:
B1 0.000 0.000 0.000
B2 0.250 0.250 0.250
Pd1 0.000 0.000 0.500
Au1 0.250 0.250 0.750

---

Material: PmCdNO
Method: DFT, GGA-PBE
State: relaxed

Properties
polymorph energy (0 for the lowest one) = 0.30 eV per formula unit
E_tot = -5.9901 eV per atom

a = 6.360 Å, b = 7.485 Å, c = 6.167 Å
α = 90.00°, β = 90.00°, γ = 90.00°
Space group Pca2_1 (No. 29)
Inequivalent atoms, fractional coordinates:
Pm1 0.072 0.141 0.000
Cd1 0.104 0.595 0.015
N1 0.080 0.630 0.662
O1 0.098 0.104 0.630

---

Material: UNi4Au
Method: DFT, GGA-PBE
State: relaxed

Properties
E_tot = -6.4516 eV per atom
E_form = -1.88 eV per formula unit

a = 6.923 Å, b = 6.923 Å, c = 6.923 Å
α = 90.00°, β = 90.00°, γ = 90.00°
Space group F-43m (No. 216)
Inequivalent atoms, fractional coordinates:
U1 0.000 0.000 0.000
Ni1 0.125 0.125 0.375
Au1 0.250 0.250 0.750

---

Material: KZrAgTeSeS
Method: DFT, GGA-PBE
State: relaxed

Properties
polymorph energy (0 for the lowest one) = 0.39 eV per formula unit
E_tot = -4.8379 eV per atom

a = 8.544 Å, b = 4.069 Å, c = 10.364 Å
α = 90.00°, β = 110.16°, γ = 90.00°
Space group P2_1/m (No. 11)
Inequivalent atoms, fractional coordinates:
K1 0.250 0.250 0.186
Zr1 0.208 0.750 0.678
Ag1 0.424 0.250 0.899
Te1 0.060 0.750 0.365
Se1 0.402 0.250 0.641
S1 0.249 0.750 0.931

---

Material: Ho3Sc3NiTe2
Method: DFT, GGA-PBE
State: relaxed

Properties
polymorph energy (0 for the lowest one) = 0.80 eV per formula unit
E_tot = -5.5876 eV per atom

a = 8.1583 Å, b = 8.1583 Å, c = 3.7473 Å
α = 90.00°, β = 90.00°, γ = 120.00°
Space group P-62m (No. 189)
Inequivalent atoms, fractional coordinates:
Ho1 0.0000 0.7562 0.0000
Sc1 0.0000 0.4016 0.5000
Ni1 0.0000 0.0000 0.5000
Te1 0.3333 0.6667 0.0000

---

Material: Nb3AlN2
Method: DFT, GGA-PBE
State: relaxed

Properties
E_tot = -9.1581 eV per atom

a = 3.1091 Å, b = 3.1091 Å, c = 19.0200 Å
α = 90.00°, β = 90.00°, γ = 120.00°
Space group P6_3/mmc (No. 194)
Inequivalent atoms, fractional coordinates:
Nb1 0.0000 0.0000 0.0000
Nb2 0.3333 0.6667 0.1327
Al1 0.0000 0.0000 0.2500
N1 0.3333 0.6667 0.5680

---

Material: Nd2Ag2SnGe
Method: DFT, GGA-PBE
State: relaxed

Properties
E_tot = -4.5735 eV per atom

a = 4.7092 Å, b = 4.7092 Å, c = 7.6314 Å
α = 90.00°, β = 90.00°, γ = 120.00°
Space group P3m1 (No. 156)
Inequivalent atoms, fractional coordinates:
Nd1 0.0000 0.0000 0.0000
Nd2 0.0000 0.0000 0.4851
Ag1 0.3333 0.6667 0.2071
Ag2 0.6667 0.3333 0.6937
Sn1 0.3333 0.6667 0.7757
Ge1 0.6667 0.3333 0.2824

---

Material: InTc3C
Method: DFT, GGA-PBE
State: relaxed

Properties
E_tot = -8.4369 eV per atom

a = 4.144 Å, b = 4.144 Å, c = 4.144 Å
α = 90.00°, β = 90.00°, γ = 90.00°
Space group Pm-3m (No. 221)
Inequivalent atoms, fractional coordinates:
In1 0.000 0.000 0.000
Tc1 0.000 0.500 0.500
C1 0.500 0.500 0.500